A plane-wave DFT calculation with PBE was carried out for a relaxed structure of FeNi2Br.

Properties
M_tot: 0.9918 μB per atom
Raw formation energy: 655 meV/atom
Energy above the most stable polymorph in this dataset: 1.53 eV per formula unit
Uncorrected energy: -76.311 eV per cell

The structure in CIF format:
```
data_FeNi2Br
_chemical_formula_sum 'Fe4 Ni8 Br4'
_space_group_name_H-M_alt 'F -4 3 m'
_space_group_IT_number 216
_space_group_name_Hall 'F -4 2 3'
_cell_length_a 6.0147
_cell_length_b 6.0147
_cell_length_c 6.0147
_cell_angle_alpha 90.00
_cell_angle_beta 90.00
_cell_angle_gamma 90.00
loop_
_atom_site_label
_atom_site_type_symbol
_atom_site_fract_x
_atom_site_fract_y
_atom_site_fract_z
Fe1 Fe 0.0000 0.0000 0.0000
Ni1 Ni 0.0000 0.0000 0.5000
Ni2 Ni 0.2500 0.2500 0.7500
Br1 Br 0.2500 0.2500 0.2500
```